## ScPIr2 (PBE)

Data for an optimized crystal structure of ScPIr2.

a b c (Å): 10.019 2.969 4.553
angles (deg): 90.00 116.89 90.00
Space group C2/m (No. 12)
Asymmetric unit:
Sc 0.000 0.000 0.000 x2
P 0.000 0.500 0.500 x2
Ir 0.218 0.000 0.718 x4

Output
The calculation puts the formation energy at -0.569 eV per atom. The volume is 15.096 A^3/atom. Its total DFT energy (no corrections) is -63.478 eV for the cell shown.

***

## KBa2InCu (PBE)

Data for an optimized crystal structure of KBa2InCu.

a b c (Å): 6.914 6.914 5.050
angles (deg): 90.00 90.00 90.00
Space group P4/mmm (No. 123)
Asymmetric unit:
K 0.000 0.000 0.000 x1
Ba 0.000 0.500 0.500 x2
In 0.500 0.500 0.500 x1
Cu 0.500 0.500 0.000 x1

Output
The calculation puts the formation energy at 0.155 eV per atom. The polymorph energy (0 for the lowest one) comes out at 184 meV per atom. The volume is 48.273 A^3/atom. Its total DFT energy (no corrections) is -11.005 eV for the cell shown.

***

## In2PtRh (PBE)

Data for an optimized crystal structure of In2PtRh.

a b c (Å): 3.1704 3.1704 25.2620
angles (deg): 90.00 90.00 120.00
Space group R-3m (No. 166, hexagonal axes)
Asymmetric unit:
In 0.0000 0.0000 0.2478 x6
Pt 0.0000 0.0000 0.0000 x3
Rh 0.0000 0.0000 0.5000 x3

Output
The calculation puts the formation energy at -0.242 eV per atom. The volume is 18.326 A^3/atom. Its total DFT energy (no corrections) is -59.517 eV for the cell shown.

***

## TaFeSb2 (PBE)

Data for an optimized crystal structure of TaFeSb2.

a b c (Å): 9.912 3.223 5.060
angles (deg): 90.00 110.53 90.00
Space group Cm (No. 8)
Asymmetric unit:
Ta 0.000 0.000 0.000 x2
Fe 0.206 0.500 0.355 x2
Sb 0.236 0.000 0.819 x2
Sb 0.448 0.000 0.464 x2

Output
The polymorph energy (0 for the lowest one) comes out at 211 meV per atom. The volume is 18.919 A^3/atom. Its total DFT energy (no corrections) is -55.187 eV for the cell shown.

***

## ErCuPd4 (PBE)

Data for an optimized crystal structure of ErCuPd4.

a b c (Å): 5.575 7.755 5.162
angles (deg): 90.00 116.96 90.00
Space group P2_1/c (No. 14)
Asymmetric unit:
Er 0.000 0.000 0.000 x2
Cu 0.500 0.000 0.500 x2
Pd 0.138 0.155 0.589 x4
Pd 0.392 0.671 0.378 x4

Output
The calculation puts the formation energy at -0.478 eV per atom. The polymorph energy (0 for the lowest one) comes out at 0 meV per atom. The volume is 16.576 A^3/atom. Its total DFT energy (no corrections) is -64.592 eV for the cell shown.

***

## ErMnSn2Te5 (PBE)

Data for an optimized crystal structure of ErMnSn2Te5.

a b c (Å): 4.301 19.970 14.132
angles (deg): 90.00 90.00 90.00
Space group Cmc2_1 (No. 36)
Asymmetric unit:
Er 0.000 0.193 0.000 x4
Mn 0.000 0.430 0.401 x4
Sn 0.000 0.073 0.343 x4
Sn 0.000 0.170 0.649 x4
Te 0.000 0.031 0.003 x4
Te 0.000 0.306 0.343 x4
Te 0.000 0.317 0.651 x4
Te 0.000 0.343 0.000 x4
Te 0.000 0.497 0.241 x4

Output
The volume is 33.721 A^3/atom. Its total DFT energy (no corrections) is -167.495 eV for the cell shown.

***

## Tm5Sn2Pb2 (PBE)

Data for an optimized crystal structure of Tm5Sn2Pb2.

a b c (Å): 18.590 6.288 8.720
angles (deg): 90.00 90.00 90.00
Space group Ima2 (No. 46)
Asymmetric unit:
Tm 0.087 0.131 0.000 x8
Tm 0.162 0.594 0.141 x8
Tm 0.250 0.117 0.292 x4
Sn 0.000 0.000 0.702 x4
Sn 0.250 0.574 0.448 x4
Pb 0.079 0.583 0.832 x8

Output
The calculation puts the formation energy at -0.358 eV per atom. The polymorph energy (0 for the lowest one) comes out at 246 meV per atom. The volume is 28.313 A^3/atom. Its total DFT energy (no corrections) is -164.022 eV for the cell shown.

***

## NpTl2Pt9 (PBE)

Data for an optimized crystal structure of NpTl2Pt9.

a b c (Å): 5.4330 5.4330 26.4024
angles (deg): 90.00 90.00 120.00
Space group R-3m (No. 166, hexagonal axes)
Asymmetric unit:
Np 0.0000 0.0000 0.0000 x3
Tl 0.0000 0.0000 0.1411 x6
Pt 0.0000 0.0000 0.3333 x6
Pt 0.0000 0.0000 0.5000 x3
Pt 0.0029 0.5015 0.9163 x18

Output
The calculation puts the formation energy at -0.250 eV per atom. The volume is 18.748 A^3/atom. Its total DFT energy (no corrections) is -225.104 eV for the cell shown.

***

## Pa2Ge3Ir4Ru (PBE)

Data for an optimized crystal structure of Pa2Ge3Ir4Ru.

a b c (Å): 4.086 4.086 10.740
angles (deg): 90.00 90.00 90.00
Space group P-4m2 (No. 115)
Asymmetric unit:
Pa 0.000 0.500 0.246 x2
Ge 0.000 0.500 0.869 x2
Ge 0.500 0.500 0.500 x1
Ir 0.000 0.000 0.000 x1
Ir 0.000 0.500 0.645 x2
Ir 0.500 0.500 0.000 x1
Ru 0.000 0.000 0.500 x1

Output
The calculation puts the formation energy at -0.555 eV per atom. The volume is 17.933 A^3/atom. Its total DFT energy (no corrections) is -83.110 eV for the cell shown.

***

## Dy3Tm3In (PBE)

Data for an optimized crystal structure of Dy3Tm3In.

a b c (Å): 9.292 5.504 9.299
angles (deg): 90.00 119.95 90.00
Space group P2_1/m (No. 11)
Asymmetric unit:
Dy 0.064 0.250 0.244 x2
Dy 0.180 0.250 0.935 x2
Dy 0.245 0.750 0.180 x2
Tm 0.105 0.750 0.482 x2
Tm 0.377 0.750 0.895 x2
Tm 0.482 0.250 0.377 x2
In 0.333 0.250 0.666 x2

Output
The calculation puts the formation energy at -0.102 eV per atom. The polymorph energy (0 for the lowest one) comes out at 0 meV per atom. The volume is 29.432 A^3/atom. Its total DFT energy (no corrections) is -61.345 eV for the cell shown.

***

## PuGa4Au6 (PBE)

Data for an optimized crystal structure of PuGa4Au6.

a b c (Å): 7.5713 7.5713 4.2208
angles (deg): 90.00 90.00 120.00
Space group P-6m2 (No. 187)
Asymmetric unit:
Pu 0.0000 0.0000 0.0000 x1
Ga 0.3333 0.6667 0.0000 x1
Ga 0.3907 0.1953 0.5000 x3
Au 0.1952 0.3905 0.5000 x3
Au 0.5364 0.0728 0.0000 x3

Output
The calculation puts the formation energy at -0.283 eV per atom. The polymorph energy (0 for the lowest one) comes out at 0 meV per atom. The volume is 19.049 A^3/atom. Its total DFT energy (no corrections) is -49.220 eV for the cell shown.

***

## Ca2IrPt (PBE)

Data for an optimized crystal structure of Ca2IrPt.

a b c (Å): 3.476 3.558 6.606
angles (deg): 90.00 90.00 90.00
Space group Pmmm (No. 47)
Asymmetric unit:
Ca 0.000 0.000 0.247 x2
Ir 0.500 0.500 0.000 x1
Pt 0.500 0.500 0.500 x1

Output
The calculation puts the formation energy at -0.473 eV per atom. The volume is 20.426 A^3/atom. Its total DFT energy (no corrections) is -20.798 eV for the cell shown.

***

## ThTi (PBE)

Data for an optimized crystal structure of ThTi.

a b c (Å): 3.367 4.865 6.262
angles (deg): 90.00 104.97 90.00
Space group P2_1/m (No. 11)
Asymmetric unit:
Th 0.196 0.250 0.338 x2
Ti 0.381 0.250 0.878 x2

Output
The calculation puts the formation energy at 0.182 eV per atom. The volume is 24.772 A^3/atom. Its total DFT energy (no corrections) is -29.903 eV for the cell shown.

***

## Re2BiSb (PBE)

Data for an optimized crystal structure of Re2BiSb.

a b c (Å): 6.160 6.160 12.166
angles (deg): 90.00 90.00 90.00
Space group I-42d (No. 122)
Asymmetric unit:
Re 0.236 0.250 0.125 x8
Bi 0.000 0.000 0.500 x4
Sb 0.000 0.000 0.000 x4

Output
The volume is 28.852 A^3/atom. Its total DFT energy (no corrections) is -104.456 eV for the cell shown.

***

## HfZr2Mn2 (PBE)

Data for an optimized crystal structure of HfZr2Mn2.

a b c (Å): 7.265 7.265 3.544
angles (deg): 90.00 90.00 90.00
Space group P4/mbm (No. 127)
Asymmetric unit:
Hf 0.000 0.000 0.000 x2
Zr 0.170 0.330 0.500 x4
Mn 0.124 0.624 0.000 x4

Output
The calculation puts the formation energy at 0.021 eV per atom. The volume is 18.705 A^3/atom. Its total DFT energy (no corrections) is -90.572 eV for the cell shown.

***

## La3Rh (PBE)

Data for an optimized crystal structure of La3Rh.

a b c (Å): 4.524 6.953 7.360
angles (deg): 90.00 90.00 90.00
Space group Pmmn (No. 59, origin choice 2)
Asymmetric unit:
La 0.250 0.006 0.139 x4
La 0.250 0.250 0.556 x2
Rh 0.250 0.750 0.706 x2

Output
The calculation puts the formation energy at -0.259 eV per atom. The volume is 28.940 A^3/atom. Its total DFT energy (no corrections) is -46.336 eV for the cell shown.

***

## KTl2Ag (PBE)

Data for an optimized crystal structure of KTl2Ag.

a b c (Å): 6.572 10.383 3.505
angles (deg): 90.00 90.00 90.00
Space group Cmmm (No. 65)
Asymmetric unit:
K 0.000 0.000 0.000 x2
Tl 0.250 0.250 0.500 x4
Ag 0.000 0.500 0.000 x2

Output
The calculation puts the formation energy at 0.140 eV per atom. The volume is 29.894 A^3/atom. Its total DFT energy (no corrections) is -16.244 eV for the cell shown.

***

## Sc4ZnHg3 (PBE)

Data for an optimized crystal structure of Sc4ZnHg3.

a b c (Å): 3.450 3.450 14.155
angles (deg): 90.00 90.00 90.00
Space group P4/mmm (No. 123)
Asymmetric unit:
Sc 0.000 0.000 0.114 x2
Sc 0.000 0.000 0.372 x2
Zn 0.500 0.500 0.000 x1
Hg 0.500 0.500 0.241 x2
Hg 0.500 0.500 0.500 x1

Output
The calculation puts the formation energy at -0.412 eV per atom. The volume is 21.063 A^3/atom. Its total DFT energy (no corrections) is -30.804 eV for the cell shown.

***

## Cs4SmCl7 (PBE)

Data for an optimized crystal structure of Cs4SmCl7.

a b c (Å): 17.524 5.295 14.444
angles (deg): 90.00 126.37 90.00
Space group C2/m (No. 12)
Asymmetric unit:
Cs 0.132 0.000 0.233 x4
Cs 0.139 0.500 0.862 x4
Sm 0.000 0.000 0.500 x2
Cl 0.000 0.500 0.500 x2
Cl 0.095 0.500 0.360 x4
Cl 0.116 0.000 0.984 x4
Cl 0.165 0.000 0.699 x4

Output
The volume is 44.966 A^3/atom. Its total DFT energy (no corrections) is -87.144 eV for the cell shown.

***

## SrDySc (PBE)

Data for an optimized crystal structure of SrDySc.

a b c (Å): 3.696 3.696 15.144
angles (deg): 90.00 90.00 90.00
Space group I4mm (No. 107)
Asymmetric unit:
Sr 0.000 0.000 0.000 x2
Dy 0.000 0.000 0.308 x2
Sc 0.000 0.000 0.676 x2

Output
The calculation puts the formation energy at 0.198 eV per atom. The polymorph energy (0 for the lowest one) comes out at 0 meV per atom. The volume is 34.485 A^3/atom. Its total DFT energy (no corrections) is -24.043 eV for the cell shown.